## LaTb4Pr2Dy (GGA-PBE)

Data for a geometry-optimized LaTb4Pr2Dy structure.

Calculated values
* SG: P2/m (10)
* spin magnetization: 0.00 μB/atom
* ΔE_f: 0.018 eV/atom
* D(E_F): 11.68 states/eV/f.u.

extended XYZ file:
```
8
Lattice="6.263 0.000 0.000 0.000 3.636 0.000 -2.144 0.000 11.772" Properties=species:S:1:pos:R:3 pbc="T T T"
La 0.000 0.000 0.000
Tb -0.045 0.000 8.798
Tb 1.023 1.818 2.973
Tb 3.096 1.818 8.799
Tb 4.164 0.000 2.975
Pr 2.060 0.000 5.886
Pr 3.132 1.818 0.000
Dy -1.072 1.818 5.886
```